# Pr3S2N, relaxed, DFT GGA-PBE
# total energy	-6.927	eV per atom
data_Pr3S2N
_cell_length_a 3.896
_cell_length_b 3.896
_cell_length_c 10.018
_cell_angle_alpha 90.00
_cell_angle_beta 90.00
_cell_angle_gamma 120.00
_symmetry_space_group_name_H-M 'P 1'
_symmetry_Int_Tables_number 1
_symmetry_space_group_name_Hall 'P 1'
loop_
_atom_site_label
_atom_site_fract_x
_atom_site_fract_y
_atom_site_fract_z
Pr1 0.000 0.000 0.000
Pr2 0.333 0.667 0.363
Pr3 0.667 0.333 0.637
S1 0.333 0.667 0.822
S2 0.667 0.333 0.178
N1 0.000 0.000 0.500